Material: B7C5
Method: DFT, GGA-PBE
State: relaxed

Lattice parameters (Å, degrees): 6.4297 6.4297 4.8563 96.48 96.48 23.75
Positions (direct):
B 0.0000 0.0000 0.0000
B 0.3545 0.3545 0.3881
B 0.3602 0.3602 0.7472
B 0.5048 0.5048 0.5516
B 0.5672 0.5672 0.2258
B 0.6910 0.6910 0.0143
B 0.7072 0.7072 0.3742
C 0.0538 0.0538 0.7154
C 0.1711 0.1711 0.8104
C 0.2332 0.2332 0.5582
C 0.8233 0.8233 0.1972
C 0.8757 0.8757 0.9342

Summary:
formation enthalpy at 0 K	0.3713	eV per atom
SG	Cm (8)
excess energy over the best structure of this formula in the dataset	206.9	meV per atom
calculated volume	80	Å³/cell
density	2.81	Mg/m³

Material: BC
Method: DFT, GGA-PBE
State: relaxed

Lattice parameters (Å, degrees): 4.8776 2.5073 6.6691 90.00 97.09 90.00
Positions (direct):
B 0.0000 0.0000 0.0000
B 0.0450 0.0000 0.7370
B 0.2573 0.5000 0.6392
B 0.3734 0.0000 0.0840
B 0.5705 0.5000 0.9722
B 0.7165 0.0000 0.4054
C 0.2230 0.5000 0.3966
C 0.3679 0.0000 0.3265
C 0.5695 0.5000 0.7305
C 0.7188 0.0000 0.6820
C 0.8733 0.5000 0.0948
C 0.9071 0.5000 0.3175

Summary:
formation enthalpy at 0 K	0.3932	eV per atom
SG	Pm (6)
excess energy over the best structure of this formula in the dataset	242.4	meV per atom
calculated volume	81	Å³/cell
density	2.81	Mg/m³

Material: BC
Method: DFT, GGA-PBE
State: relaxed

Lattice parameters (Å, degrees): 4.6375 2.6672 6.6017 90.00 92.03 90.00
Positions (direct):
B 0.0000 0.0000 0.0000
B 0.0650 0.0000 0.7051
B 0.3385 0.0000 0.3018
B 0.4929 0.5000 0.7261
B 0.6896 0.0000 0.5980
B 0.8437 0.5000 0.2938
C 0.1766 0.5000 0.3844
C 0.1806 0.5000 0.6113
C 0.3477 0.0000 0.0220
C 0.5117 0.5000 0.9707
C 0.6831 0.0000 0.3667
C 0.8292 0.5000 0.0318

Summary:
formation enthalpy at 0 K	0.3903	eV per atom
SG	Pm (6)
excess energy over the best structure of this formula in the dataset	239.5	meV per atom
calculated volume	82	Å³/cell
density	2.79	Mg/m³

Material: B3C2
Method: DFT, GGA-PBE
State: relaxed

Lattice parameters (Å, degrees): 12.4100 12.4100 12.4100 11.78 11.78 11.78
Positions (direct):
B 0.0225 0.0225 0.0225
B 0.3861 0.3861 0.3861
B 0.4320 0.4320 0.4320
B 0.5680 0.5680 0.5680
B 0.6139 0.6139 0.6139
B 0.9775 0.9775 0.9775
C 0.1743 0.1743 0.1743
C 0.2145 0.2145 0.2145
C 0.7855 0.7855 0.7855
C 0.8257 0.8257 0.8257

Summary:
formation enthalpy at 0 K	0.5716	eV per atom
SG	R-3m (166)
excess energy over the best structure of this formula in the dataset	360.6	meV per atom
calculated volume	69	Å³/cell
density	2.71	Mg/m³

Material: B3C
Method: DFT, GGA-PBE
State: relaxed

Lattice parameters (Å, degrees): 7.4441 7.4441 4.3446 106.08 106.08 21.18
Positions (direct):
B 0.0000 0.0000 0.0000
B 0.0980 0.0980 0.8172
B 0.1243 0.1243 0.2105
B 0.3117 0.3117 0.5605
B 0.4284 0.4284 0.9398
B 0.5009 0.5009 0.3084
B 0.6141 0.6141 0.5386
B 0.6711 0.6711 0.9533
B 0.9420 0.9420 0.5983
C 0.3174 0.3174 0.9151
C 0.7880 0.7880 0.0469
C 0.8267 0.8267 0.4046

Summary:
formation enthalpy at 0 K	0.4523	eV per atom
SG	Cm (8)
excess energy over the best structure of this formula in the dataset	211.7	meV per atom
calculated volume	83	Å³/cell
density	2.65	Mg/m³

Material: B3C
Method: DFT, GGA-PBE
State: relaxed

Lattice parameters (Å, degrees): 4.4316 4.4316 4.9234 106.08 106.08 105.92
Positions (direct):
B 0.0000 0.0000 0.0000
B 0.2358 0.5754 0.9435
B 0.3031 0.5886 0.4772
B 0.5638 0.8251 0.8809
B 0.5671 0.8582 0.3322
B 0.5754 0.2358 0.9435
B 0.5886 0.3031 0.4772
B 0.8251 0.5638 0.8809
B 0.8582 0.5671 0.3322
C 0.1742 0.1742 0.8259
C 0.1795 0.1795 0.3453
C 0.9926 0.9926 0.4903

Summary:
formation enthalpy at 0 K	0.4134	eV per atom
SG	Cm (8)
excess energy over the best structure of this formula in the dataset	172.8	meV per atom
calculated volume	83	Å³/cell
density	2.68	Mg/m³

Material: BC
Method: DFT, GGA-PBE
State: relaxed

Lattice parameters (Å, degrees): 4.8628 4.8628 6.8224 120.56 120.56 31.58
Positions (direct):
B 0.0000 0.0000 0.0000
B 0.0194 0.0194 0.6516
B 0.3402 0.3402 0.2482
B 0.3749 0.3749 0.5230
B 0.6570 0.6570 0.3671
C 0.1961 0.1961 0.5078
C 0.2106 0.2106 0.7459
C 0.6033 0.6033 0.0901
C 0.7906 0.7906 0.1110
C 0.7974 0.7974 0.8889

Summary:
formation enthalpy at 0 K	0.4068	eV per atom
SG	Cm (8)
excess energy over the best structure of this formula in the dataset	256.0	meV per atom
calculated volume	72	Å³/cell
density	2.64	Mg/m³

Material: BC
Method: DFT, GGA-PBE
State: relaxed

Lattice parameters (Å, degrees): 6.8444 6.8444 6.8444 159.35 42.06 143.77
Positions (direct):
B 0.0000 0.0000 0.0000
B 0.2292 0.0448 0.1844
B 0.5507 0.2444 0.3062
B 0.8604 0.0448 0.8156
B 0.9382 0.2444 0.6938
C 0.2097 0.3053 0.9044
C 0.4009 0.3053 0.0956
C 0.4129 0.0067 0.4062
C 0.6006 0.0067 0.5938
C 0.7387 0.2387 0.5000

Summary:
formation enthalpy at 0 K	0.4568	eV per atom
SG	Imm2 (44)
excess energy over the best structure of this formula in the dataset	306.0	meV per atom
calculated volume	67	Å³/cell
density	2.84	Mg/m³